# PBE DyAgSnTeS2, relaxed
data_DyAgSnTeS2
_chemical_formula_sum 'Dy4 Ag4 Sn4 Te4 S8'
_cell_length_a 4.061
_cell_length_b 13.849
_cell_length_c 11.183
_cell_angle_alpha 90.00
_cell_angle_beta 90.00
_cell_angle_gamma 90.00
_space_group_name_H-M_alt 'C m c m'
_space_group_IT_number 63
_space_group_name_Hall '-C 2c 2'
loop_
_atom_site_label
_atom_site_type_symbol
_atom_site_fract_x
_atom_site_fract_y
_atom_site_fract_z
_atom_site_occupancy
Dy1 Dy 0.000 0.000 0.000 1
Ag1 Ag 0.000 0.481 0.250 1
Sn1 Sn 0.000 0.205 0.750 1
Te1 Te 0.000 0.119 0.250 1
S1 S 0.000 0.375 0.066 1
# Energy (eV/atom): -4.638
# Total magnetization (μB/atom): 0.000

# PBE SrDyAgTe2S, relaxed
data_SrDyAgTe2S
_chemical_formula_sum 'Sr4 Dy4 Ag4 Te8 S4'
_cell_length_a 4.328
_cell_length_b 14.611
_cell_length_c 10.633
_cell_angle_alpha 90.00
_cell_angle_beta 90.00
_cell_angle_gamma 90.00
_space_group_name_H-M_alt 'C m c m'
_space_group_IT_number 63
_space_group_name_Hall '-C 2c 2'
loop_
_atom_site_label
_atom_site_type_symbol
_atom_site_fract_x
_atom_site_fract_y
_atom_site_fract_z
_atom_site_occupancy
Sr1 Sr 0.000 0.228 0.250 1
Dy1 Dy 0.000 0.500 0.000 1
Ag1 Ag 0.000 0.020 0.750 1
Te1 Te 0.000 0.147 0.555 1
S1 S 0.000 0.424 0.750 1
# Energy (eV/atom): -4.581
# Total magnetization (μB/atom): 0.000

# PBE SrDyAgTeS2, relaxed
data_SrDyAgTeS2
_chemical_formula_sum 'Sr4 Dy4 Ag4 Te4 S8'
_cell_length_a 4.082
_cell_length_b 14.565
_cell_length_c 11.041
_cell_angle_alpha 90.00
_cell_angle_beta 90.00
_cell_angle_gamma 90.00
_space_group_name_H-M_alt 'C m c m'
_space_group_IT_number 63
_space_group_name_Hall '-C 2c 2'
loop_
_atom_site_label
_atom_site_type_symbol
_atom_site_fract_x
_atom_site_fract_y
_atom_site_fract_z
_atom_site_occupancy
Sr1 Sr 0.000 0.205 0.250 1
Dy1 Dy 0.000 0.000 0.000 1
Ag1 Ag 0.000 0.489 0.750 1
Te1 Te 0.000 0.115 0.750 1
S1 S 0.000 0.381 0.571 1
# Energy (eV/atom): -4.844
# Total magnetization (μB/atom): 0.000

# PBE Dy2Ag2TeS3, relaxed
data_Dy2Ag2TeS3
_chemical_formula_sum 'Dy4 Ag4 Te2 S6'
_cell_length_a 9.834
_cell_length_b 9.157
_cell_length_c 4.232
_cell_angle_alpha 90.00
_cell_angle_beta 92.03
_cell_angle_gamma 90.00
_space_group_name_H-M_alt 'C 1 m 1'
_space_group_IT_number 8
_space_group_name_Hall 'C -2y'
loop_
_atom_site_label
_atom_site_type_symbol
_atom_site_fract_x
_atom_site_fract_y
_atom_site_fract_z
_atom_site_occupancy
Dy1 Dy 0.000 0.000 0.000 1
Dy2 Dy 0.038 0.500 0.434 1
Ag1 Ag 0.266 0.249 0.262 1
Te1 Te 0.311 0.000 0.908 1
S1 S 0.018 0.199 0.488 1
S2 S 0.219 0.500 0.963 1
# Energy (eV/atom): -5.005
# Total magnetization (μB/atom): 0.000

Which of these has the highest energy? SrDyAgTe2S

What is the energy in the second record? -4.581 eV/atom

The highest energy belongs to which entry? SrDyAgTe2S